(1)
# Sr2MgCu2 | Alexandria via LeMat-Bulk | PBE | relaxed
data_Sr2MgCu2
_chemical_formula_sum 'Sr4 Mg2 Cu4'
_cell_length_a 6.019
_cell_length_b 6.019
_cell_length_c 7.952
_cell_angle_alpha 90.00
_cell_angle_beta 90.00
_cell_angle_gamma 90.00
_space_group_name_H-M_alt 'I 4/m m m'
_space_group_IT_number 139
_space_group_name_Hall '-I 4 2'
loop_
_atom_site_label
_atom_site_fract_x
_atom_site_fract_y
_atom_site_fract_z
Sr1 0.000 0.500 0.250
Mg1 0.000 0.000 0.000
Cu1 0.000 0.000 0.350
# - Formation energy: 65 meV per atom

---

(2)
# SrMgCu2 | Alexandria via LeMat-Bulk | PBE | relaxed
data_SrMgCu2
_chemical_formula_sum 'Sr1 Mg1 Cu2'
_cell_length_a 3.993
_cell_length_b 4.084
_cell_length_c 5.970
_cell_angle_alpha 90.00
_cell_angle_beta 109.47
_cell_angle_gamma 90.00
_space_group_name_H-M_alt 'P 1 m 1'
_space_group_IT_number 6
loop_
_space_group_symop_operation_xyz
'x,y,z'
'x,-y,z'
loop_
_atom_site_label
_atom_site_fract_x
_atom_site_fract_y
_atom_site_fract_z
Sr1 0.000 0.000 0.000
Mg1 0.281 0.500 0.565
Cu1 0.612 0.500 0.225
Cu2 0.725 0.000 0.456
# - Formation energy: -28 meV per atom

---

(3)
# Sr2Mg2Cu | Alexandria via LeMat-Bulk | PBE | relaxed
data_Sr2Mg2Cu
_chemical_formula_sum 'Sr8 Mg8 Cu4'
_cell_length_a 12.342
_cell_length_b 6.925
_cell_length_c 7.518
_cell_angle_alpha 90.00
_cell_angle_beta 107.23
_cell_angle_gamma 90.00
_space_group_name_H-M_alt 'C 1 2/c 1'
_space_group_IT_number 15
loop_
_space_group_symop_operation_xyz
'x,y,z'
'-x,-y,-z'
'-x,y,-z+1/2'
'x,-y,z+1/2'
'x+1/2,y+1/2,z'
'-x+1/2,-y+1/2,-z'
'-x+1/2,y+1/2,-z+1/2'
'x+1/2,-y+1/2,z+1/2'
loop_
_atom_site_label
_atom_site_fract_x
_atom_site_fract_y
_atom_site_fract_z
Sr1 0.153 0.086 0.135
Mg1 0.098 0.402 0.466
Cu1 0.000 0.288 0.750
# - Formation energy: -35 meV per atom

---

(4)
# SrMgCu | Alexandria via LeMat-Bulk | PBE | relaxed
data_SrMgCu
_chemical_formula_sum 'Sr4 Mg4 Cu4'
_cell_length_a 7.389
_cell_length_b 7.389
_cell_length_c 7.389
_cell_angle_alpha 90.00
_cell_angle_beta 90.00
_cell_angle_gamma 90.00
_space_group_name_H-M_alt 'F -4 3 m'
_space_group_IT_number 216
_space_group_name_Hall 'F -4 2 3'
loop_
_atom_site_label
_atom_site_fract_x
_atom_site_fract_y
_atom_site_fract_z
Sr1 0.000 0.000 0.000
Mg1 0.250 0.250 0.250
Cu1 0.250 0.250 0.750
# - Formation energy: 542 meV per atom

---

(5)
# SrMgCu10 | Alexandria via LeMat-Bulk | PBE | relaxed
data_SrMgCu10
_chemical_formula_sum 'Sr1 Mg1 Cu10'
_cell_length_a 4.092
_cell_length_b 5.055
_cell_length_c 8.783
_cell_angle_alpha 90.00
_cell_angle_beta 90.00
_cell_angle_gamma 90.00
_space_group_name_H-M_alt 'P m m m'
_space_group_IT_number 47
loop_
_space_group_symop_operation_xyz
'x,y,z'
'-x,-y,-z'
'-x,-y,z'
'x,y,-z'
'x,-y,-z'
'-x,y,z'
'-x,y,-z'
'x,-y,z'
loop_
_atom_site_label
_atom_site_fract_x
_atom_site_fract_y
_atom_site_fract_z
Sr1 0.000 0.000 0.000
Mg1 0.000 0.500 0.500
Cu1 0.000 0.000 0.348
Cu2 0.000 0.500 0.189
Cu3 0.500 0.000 0.500
Cu4 0.500 0.254 0.260
Cu5 0.500 0.500 0.000
# - Formation energy: -48 meV per atom

---

(6)
# SrMgCu2 | Alexandria via LeMat-Bulk | PBE | relaxed
data_SrMgCu2
_chemical_formula_sum 'Sr4 Mg4 Cu8'
_cell_length_a 6.979
_cell_length_b 6.979
_cell_length_c 6.979
_cell_angle_alpha 90.00
_cell_angle_beta 90.00
_cell_angle_gamma 90.00
_space_group_name_H-M_alt 'F -4 3 m'
_space_group_IT_number 216
_space_group_name_Hall 'F -4 2 3'
loop_
_atom_site_label
_atom_site_fract_x
_atom_site_fract_y
_atom_site_fract_z
Sr1 0.000 0.000 0.000
Mg1 0.250 0.250 0.250
Cu1 0.000 0.000 0.500
Cu2 0.250 0.250 0.750
# - Formation energy: 233 meV per atom

---

(7)
# Sr3Mg2Cu4 | Alexandria via LeMat-Bulk | PBE | relaxed
data_Sr3Mg2Cu4
_chemical_formula_sum 'Sr6 Mg4 Cu8'
_cell_length_a 11.268
_cell_length_b 4.495
_cell_length_c 9.036
_cell_angle_alpha 90.00
_cell_angle_beta 99.80
_cell_angle_gamma 90.00
_space_group_name_H-M_alt 'C 1 2/m 1'
_space_group_IT_number 12
loop_
_space_group_symop_operation_xyz
'x,y,z'
'-x,-y,-z'
'-x,y,-z'
'x,-y,z'
'x+1/2,y+1/2,z'
'-x+1/2,-y+1/2,-z'
'-x+1/2,y+1/2,-z'
'x+1/2,-y+1/2,z'
loop_
_atom_site_label
_atom_site_fract_x
_atom_site_fract_y
_atom_site_fract_z
Sr1 0.000 0.000 0.000
Sr2 0.126 0.500 0.379
Mg1 0.178 0.500 0.783
Cu1 0.080 0.000 0.629
Cu2 0.241 0.500 0.075
# - Formation energy: -81 meV per atom

---

(8)
# SrMgCu | Alexandria via LeMat-Bulk | PBE | relaxed
data_SrMgCu
_chemical_formula_sum 'Sr1 Mg1 Cu1'
_cell_length_a 4.6824
_cell_length_b 4.6824
_cell_length_c 4.3845
_cell_angle_alpha 90.00
_cell_angle_beta 90.00
_cell_angle_gamma 120.00
_space_group_name_H-M_alt 'P -6 m 2'
_space_group_IT_number 187
_space_group_name_Hall 'P -6 2'
loop_
_atom_site_label
_atom_site_fract_x
_atom_site_fract_y
_atom_site_fract_z
Sr1 0.0000 0.0000 0.0000
Mg1 0.3333 0.6667 0.5000
Cu1 0.6667 0.3333 0.5000
# - Formation energy: -6 meV per atom

---

(9)
# SrMgCu2 | Alexandria via LeMat-Bulk | PBE | relaxed
data_SrMgCu2
_chemical_formula_sum 'Sr3 Mg3 Cu6'
_cell_length_a 4.3542
_cell_length_b 4.3542
_cell_length_c 17.3038
_cell_angle_alpha 90.00
_cell_angle_beta 90.00
_cell_angle_gamma 120.00
_space_group_name_H-M_alt 'R 3 m'
_space_group_IT_number 160
_space_group_name_Hall 'R 3 -2"'
loop_
_atom_site_label
_atom_site_fract_x
_atom_site_fract_y
_atom_site_fract_z
Sr1 0.0000 0.0000 0.0000
Mg1 0.0000 0.0000 0.8140
Cu1 0.0000 0.0000 0.2059
Cu2 0.0000 0.0000 0.5393
# - Formation energy: -58 meV per atom

---

(10)
# SrMg6Cu6 | Alexandria via LeMat-Bulk | PBE | relaxed
data_SrMg6Cu6
_chemical_formula_sum 'Sr2 Mg12 Cu12'
_cell_length_a 5.299
_cell_length_b 9.285
_cell_length_c 9.338
_cell_angle_alpha 90.00
_cell_angle_beta 90.00
_cell_angle_gamma 90.00
_space_group_name_H-M_alt 'I m m m'
_space_group_IT_number 71
_space_group_name_Hall '-I 2 2'
loop_
_atom_site_label
_atom_site_fract_x
_atom_site_fract_y
_atom_site_fract_z
Sr1 0.000 0.000 0.000
Mg1 0.000 0.000 0.349
Mg2 0.000 0.340 0.000
Mg3 0.000 0.500 0.303
Cu1 0.000 0.267 0.500
Cu2 0.250 0.250 0.250
# - Formation energy: -79 meV per atom

---

(11)
# Sr8MgCu2 | Alexandria via LeMat-Bulk | PBE | relaxed
data_Sr8MgCu2
_chemical_formula_sum 'Sr16 Mg2 Cu4'
_cell_length_a 10.020
_cell_length_b 14.792
_cell_length_c 6.334
_cell_angle_alpha 90.00
_cell_angle_beta 104.28
_cell_angle_gamma 90.00
_space_group_name_H-M_alt 'C 1 m 1'
_space_group_IT_number 8
loop_
_space_group_symop_operation_xyz
'x,y,z'
'x,-y,z'
'x+1/2,y+1/2,z'
'x+1/2,-y+1/2,z'
loop_
_atom_site_label
_atom_site_fract_x
_atom_site_fract_y
_atom_site_fract_z
Sr1 0.000 0.000 0.000
Sr2 0.077 0.369 0.784
Sr3 0.183 0.131 0.613
Sr4 0.260 0.500 0.396
Sr5 0.380 0.244 0.198
Mg1 0.380 0.000 0.202
Cu1 0.380 0.313 0.697
# - Formation energy: 25 meV per atom

---

(12)
# Sr2Mg3Cu2 | Alexandria via LeMat-Bulk | PBE | relaxed
data_Sr2Mg3Cu2
_chemical_formula_sum 'Sr4 Mg6 Cu4'
_cell_length_a 11.264
_cell_length_b 4.456
_cell_length_c 8.002
_cell_angle_alpha 90.00
_cell_angle_beta 116.73
_cell_angle_gamma 90.00
_space_group_name_H-M_alt 'C 1 2/m 1'
_space_group_IT_number 12
loop_
_space_group_symop_operation_xyz
'x,y,z'
'-x,-y,-z'
'-x,y,-z'
'x,-y,z'
'x+1/2,y+1/2,z'
'-x+1/2,-y+1/2,-z'
'-x+1/2,y+1/2,-z'
'x+1/2,-y+1/2,z'
loop_
_atom_site_label
_atom_site_fract_x
_atom_site_fract_y
_atom_site_fract_z
Sr1 0.139 0.000 0.278
Mg1 0.000 0.500 0.500
Mg2 0.144 0.500 0.933
Cu1 0.137 0.000 0.707
# - Formation energy: -99 meV per atom

---

(13)
# Sr2Mg12TlCu3 | Alexandria via LeMat-Bulk | PBE | relaxed
data_Sr2Mg12TlCu3
_chemical_formula_sum 'Sr6 Mg36 Tl3 Cu9'
_cell_length_a 8.8374
_cell_length_b 8.8374
_cell_length_c 22.2161
_cell_angle_alpha 90.00
_cell_angle_beta 90.00
_cell_angle_gamma 120.00
_space_group_name_H-M_alt 'R -3 m'
_space_group_IT_number 166
_space_group_name_Hall '-R 3 2"'
loop_
_atom_site_label
_atom_site_fract_x
_atom_site_fract_y
_atom_site_fract_z
Sr1 0.0000 0.0000 0.0865
Mg1 0.0809 0.5405 0.8831
Mg2 0.0930 0.5465 0.2873
Tl1 0.0000 0.0000 0.5000
Cu1 0.0000 0.5000 0.0000
# - Formation energy: 194 meV per atom

---

(14)
# SrMg2TlCu | Alexandria via LeMat-Bulk | PBE | relaxed
data_SrMg2TlCu
_chemical_formula_sum 'Sr1 Mg2 Tl1 Cu1'
_cell_length_a 5.066
_cell_length_b 5.066
_cell_length_c 5.237
_cell_angle_alpha 90.00
_cell_angle_beta 90.00
_cell_angle_gamma 90.00
_space_group_name_H-M_alt 'P 4/m m m'
_space_group_IT_number 123
_space_group_name_Hall '-P 4 2'
loop_
_atom_site_label
_atom_site_fract_x
_atom_site_fract_y
_atom_site_fract_z
Sr1 0.000 0.000 0.000
Mg1 0.000 0.500 0.500
Tl1 0.500 0.500 0.000
Cu1 0.500 0.500 0.500
# - Formation energy: -38 meV per atom

---

(15)
# SrMgZnCu2 | Alexandria via LeMat-Bulk | PBE | relaxed
data_SrMgZnCu2
_chemical_formula_sum 'Sr2 Mg2 Zn2 Cu4'
_cell_length_a 3.974
_cell_length_b 4.399
_cell_length_c 11.807
_cell_angle_alpha 90.00
_cell_angle_beta 90.00
_cell_angle_gamma 90.00
_space_group_name_H-M_alt 'I m m 2'
_space_group_IT_number 44
loop_
_space_group_symop_operation_xyz
'x,y,z'
'-x,-y,z'
'-x,y,z'
'x,-y,z'
'x+1/2,y+1/2,z+1/2'
'-x+1/2,-y+1/2,z+1/2'
'-x+1/2,y+1/2,z+1/2'
'x+1/2,-y+1/2,z+1/2'
loop_
_atom_site_label
_atom_site_fract_x
_atom_site_fract_y
_atom_site_fract_z
Sr1 0.000 0.000 0.000
Mg1 0.000 0.500 0.758
Zn1 0.000 0.000 0.620
Cu1 0.000 0.000 0.403
Cu2 0.000 0.500 0.267
# - Formation energy: -89 meV per atom

---

(16)
# Sr2MgZnCu | Alexandria via LeMat-Bulk | PBE | relaxed
data_Sr2MgZnCu
_chemical_formula_sum 'Sr2 Mg1 Zn1 Cu1'
_cell_length_a 5.913
_cell_length_b 5.913
_cell_length_c 4.676
_cell_angle_alpha 90.00
_cell_angle_beta 90.00
_cell_angle_gamma 90.00
_space_group_name_H-M_alt 'P 4/m m m'
_space_group_IT_number 123
_space_group_name_Hall '-P 4 2'
loop_
_atom_site_label
_atom_site_fract_x
_atom_site_fract_y
_atom_site_fract_z
Sr1 0.000 0.500 0.000
Mg1 0.000 0.000 0.500
Zn1 0.500 0.500 0.500
Cu1 0.500 0.500 0.000
# - Formation energy: 30 meV per atom

---

(17)
# SrMgZn2Cu2 | Alexandria via LeMat-Bulk | PBE | relaxed
data_SrMgZn2Cu2
_chemical_formula_sum 'Sr1 Mg1 Zn2 Cu2'
_cell_length_a 4.3570
_cell_length_b 4.3570
_cell_length_c 7.2779
_cell_angle_alpha 90.00
_cell_angle_beta 90.00
_cell_angle_gamma 120.00
_space_group_name_H-M_alt 'P -3 m 1'
_space_group_IT_number 164
_space_group_name_Hall '-P 3 2"'
loop_
_atom_site_label
_atom_site_fract_x
_atom_site_fract_y
_atom_site_fract_z
Sr1 0.0000 0.0000 0.0000
Mg1 0.0000 0.0000 0.5000
Zn1 0.3333 0.6667 0.3129
Cu1 0.3333 0.6667 0.6783
# - Formation energy: -181 meV per atom

---

(18)
# Sr2MgZn2Cu | Alexandria via LeMat-Bulk | PBE | relaxed
data_Sr2MgZn2Cu
_chemical_formula_sum 'Sr8 Mg4 Zn8 Cu4'
_cell_length_a 6.948
_cell_length_b 14.212
_cell_length_c 6.477
_cell_angle_alpha 90.00
_cell_angle_beta 90.00
_cell_angle_gamma 90.00
_space_group_name_H-M_alt 'I b a m'
_space_group_IT_number 72
_space_group_name_Hall '-I 2 2c'
loop_
_atom_site_label
_atom_site_fract_x
_atom_site_fract_y
_atom_site_fract_z
Sr1 0.220 0.165 0.000
Mg1 0.000 0.500 0.250
Zn1 0.226 0.088 0.500
Cu1 0.000 0.000 0.250
# - Formation energy: -131 meV per atom

---

(19)
# SrMgZnCu | Alexandria via LeMat-Bulk | PBE | relaxed
data_SrMgZnCu
_chemical_formula_sum 'Sr4 Mg4 Zn4 Cu4'
_cell_length_a 7.147
_cell_length_b 7.147
_cell_length_c 7.147
_cell_angle_alpha 90.00
_cell_angle_beta 90.00
_cell_angle_gamma 90.00
_space_group_name_H-M_alt 'F -4 3 m'
_space_group_IT_number 216
_space_group_name_Hall 'F -4 2 3'
loop_
_atom_site_label
_atom_site_fract_x
_atom_site_fract_y
_atom_site_fract_z
Sr1 0.000 0.000 0.000
Mg1 0.000 0.000 0.500
Zn1 0.250 0.250 0.250
Cu1 0.250 0.250 0.750
# - Formation energy: -16 meV per atom

---

(20)
# Sr2MgZn3Cu4 | Alexandria via LeMat-Bulk | PBE | relaxed
data_Sr2MgZn3Cu4
_chemical_formula_sum 'Sr2 Mg1 Zn3 Cu4'
_cell_length_a 4.401
_cell_length_b 4.401
_cell_length_c 10.379
_cell_angle_alpha 90.00
_cell_angle_beta 90.00
_cell_angle_gamma 90.00
_space_group_name_H-M_alt 'P -4 m 2'
_space_group_IT_number 115
loop_
_space_group_symop_operation_xyz
'x,y,z'
'y,-x,-z'
'-x,-y,z'
'-y,x,-z'
'-x,y,z'
'-y,-x,-z'
'x,-y,z'
'y,x,-z'
loop_
_atom_site_label
_atom_site_fract_x
_atom_site_fract_y
_atom_site_fract_z
Sr1 0.000 0.500 0.235
Mg1 0.000 0.000 0.500
Zn1 0.000 0.500 0.884
Zn2 0.500 0.500 0.500
Cu1 0.000 0.000 0.000
Cu2 0.000 0.500 0.641
Cu3 0.500 0.500 0.000
# - Formation energy: -131 meV per atom